No. 1
8
Lattice="3.7616 0.0000 0.0000 0.0000 3.7616 0.0000 0.0000 0.0000 15.3041" Properties=species:S:1:pos:R:3 comment="GGA-PBE Pm3ErHg4, relaxed" formation_enthalpy_0k_kcal_per_mol_atoms=-10.93 final_energy_ev_per_atom=-2.98 vol_a3_per_cell=217 spacegroup="P4/mmm, No. 123" total_magnetization_mub_per_fu=1.44 pbc="T T T"
Pm 0.0000 0.0000 0.0000
Pm 0.0000 0.0000 3.8880
Pm 0.0000 0.0000 11.4161
Er 0.0000 0.0000 7.6521
Hg 1.8808 1.8808 1.9298
Hg 1.8808 1.8808 5.8980
Hg 1.8808 1.8808 9.4062
Hg 1.8808 1.8808 13.3743



No. 2
12
Lattice="4.3494 -6.9412 0.0000 4.3494 6.9412 0.0000 -2.0663 0.0000 5.9628" Properties=species:S:1:pos:R:3 comment="GGA-PBE PmEr4Hg, relaxed" formation_enthalpy_0k_kcal_per_mol_atoms=-1.06 final_energy_ev_per_atom=-3.93 vol_a3_per_cell=360 spacegroup="C2/c, No. 15" total_magnetization_mub_per_fu=0.00 pbc="T T T"
Pm 2.7997 5.6160 4.4721
Pm 3.8328 -5.6160 1.4907
Er 0.1021 1.6405 5.2013
Er 2.5466 2.6047 2.7106
Er 1.1352 -1.6405 2.2199
Er 5.1191 2.6047 0.2708
Er 1.5134 -2.6047 5.6920
Er 5.4973 1.6405 3.7428
Er 4.0859 -2.6047 3.2521
Er 6.5304 -1.6405 0.7614
Hg 2.7997 0.0073 4.4721
Hg 3.8328 -0.0073 1.4907



No. 3
4
Lattice="3.7122 0.0000 0.0000 0.0000 3.7122 0.0000 0.0000 0.0000 7.6650" Properties=species:S:1:pos:R:3 comment="GGA-PBE PmErHg2, relaxed" formation_enthalpy_0k_kcal_per_mol_atoms=-11.05 final_energy_ev_per_atom=-2.96 vol_a3_per_cell=106 spacegroup="P4/mmm, No. 123" total_magnetization_mub_per_fu=0.48 pbc="T T T"
Pm 0.0000 0.0000 0.0000
Er 0.0000 0.0000 3.8325
Hg 1.8561 1.8561 2.0556
Hg 1.8561 1.8561 5.6094